# 1
A plane-wave DFT calculation with SCAN was carried out for a PBEsol-optimized structure of AlCoMo2.

Summary:
- energy of formation from the pure elements (eV/atom) = -0.029

```
4
Lattice="-2.560 -0.161 -0.859 -0.831 -0.367 2.548 -0.740 7.373 0.821" Properties=species:S:1:pos:R:3 pbc="T T T"
Mo -0.542 5.407 0.602
Mo -0.197 1.966 0.219
Co -2.066 3.422 1.255
Al -1.696 -0.264 0.845
```


# 2
A plane-wave DFT calculation with SCAN was carried out for a PBEsol-optimized structure of Al2CoMo.

Summary:
- excess energy over the best structure of this formula in the dataset (meV per atom) = 66
- energy of formation from the pure elements (eV/atom) = -0.125

```
4
Lattice="2.757 0.000 0.000 1.378 2.388 0.000 1.378 0.796 8.303" Properties=species:S:1:pos:R:3 pbc="T T T"
Mo 0.000 0.000 0.000
Co 2.757 1.592 4.152
Al 1.378 0.796 2.276
Al 4.135 2.388 6.028
```


# 3
A plane-wave DFT calculation with SCAN was carried out for a PBEsol-optimized structure of Al3CoN.

Summary:
- formation energy (no corrections) (eV per atom) = -0.216

```
5
Lattice="3.874 0.000 0.000 0.000 3.874 0.000 0.000 0.000 3.874" Properties=species:S:1:pos:R:3 pbc="T T T"
Co 1.937 1.937 1.937
Al 0.000 1.937 0.000
Al 0.000 0.000 1.937
Al 1.937 0.000 0.000
N 0.000 0.000 0.000
```


# 4
A plane-wave DFT calculation with SCAN was carried out for a PBEsol-optimized structure of AlCoSN2.

Summary:
- formation energy (no corrections) (eV per atom) = 0.674

```
5
Lattice="-3.449 -0.678 0.660 0.903 -3.102 1.535 0.402 2.346 4.506" Properties=species:S:1:pos:R:3 pbc="T T T"
S 0.201 1.173 2.253
Co -1.072 -0.717 3.350
Al 0.000 0.000 0.000
N 0.452 -1.551 0.767
N -1.725 -0.339 0.330
```


Computed N(E_F), in the same sequence as the records: 0.592 0.750 0.419 0.654 states/eV per atom.
Computed size of the total moment, in the same sequence as the records: 1.2 1.0 0.0 4.3 μB/f.u..